Compound: NbCo2Pb
Source: OQMD via LeMat-Bulk
Functional: PBE
Structure: optimized geometry

Results
Electronic total energy (eV per cell): -25.9
Spin magnetization (μB/atom): 0.2178
SG: F-43m (216)
Calculated volume (A^3/atom): 15.6

Cell lengths 4.4546, 4.4546, 4.4546 Å; angles 60.00, 60.00, 60.00 degrees
Site moments in Bohr magnetons follow the coordinates.
Element x y z (fractional)
Co 0.0000 0.0000 0.0000  -1.00
Co 0.7500 0.7500 0.7500  -0.22
Nb 0.2500 0.2500 0.2500  0.31
Pb 0.5000 0.5000 0.5000  -0.01